(A)
Crystalline LiSmCdSe3 at its relaxed geometry, computed with PBE.

Calculated values
Spin magnetization   0.00 μB/f.u.

abc: 7.8051 4.1759 10.8567
angles: 90.00 103.97 90.00
Space group P2_1/m (No. 11)
Symmetry-distinct sites (fractional):
1 Li 0.1753 0.2500 0.1124 (multiplicity 2)
2 Sm 0.3267 0.7500 0.8524 (multiplicity 2)
3 Cd 0.0605 0.2500 0.6122 (multiplicity 2)
4 Se 0.0568 0.2500 0.8572 (multiplicity 2)
5 Se 0.2549 0.7500 0.5669 (multiplicity 2)
6 Se 0.4114 0.7500 0.1317 (multiplicity 2)

(B)
Crystalline LiSmCdSe3 at its relaxed geometry, computed with PBE.

Calculated values
Spin magnetization   0.00 μB/f.u.

abc: 11.4345 4.1751 13.6086
angles: 90.00 90.00 90.00
Space group Pnma (No. 62)
Symmetry-distinct sites (fractional):
1 Li 0.1273 0.2500 0.0374 (multiplicity 4)
2 Sm 0.0507 0.2500 0.7511 (multiplicity 4)
3 Cd 0.1936 0.2500 0.3140 (multiplicity 4)
4 Se 0.0153 0.7500 0.6136 (multiplicity 4)
5 Se 0.1038 0.7500 0.9087 (multiplicity 4)
6 Se 0.1997 0.7500 0.1810 (multiplicity 4)

(C)
Crystalline LiSmCdSe3 at its relaxed geometry, computed with PBE.

Calculated values
Spin magnetization   0.00 μB/f.u.

abc: 4.1425 13.1866 11.2907
angles: 90.00 90.00 90.00
Space group Cmcm (No. 63)
Symmetry-distinct sites (fractional):
1 Li 0.0000 0.2317 0.2500 (multiplicity 4)
2 Sm 0.0000 0.0000 0.0000 (multiplicity 4)
3 Cd 0.0000 0.4772 0.7500 (multiplicity 4)
4 Se 0.0000 0.1042 0.7500 (multiplicity 4)
5 Se 0.0000 0.3544 0.5685 (multiplicity 8)

(A) has the most favorable energy; the next structure is 22 meV per atom above.

(A)
Crystalline LiUCd at its relaxed geometry, computed with PBE.

Calculated values
Spin magnetization   3.65 μB/f.u.

abc: 7.0169 7.0169 7.0169
angles: 90.00 90.00 90.00
Space group F-43m (No. 216)
Symmetry-distinct sites (fractional):
1 Li 0.0000 0.0000 0.0000 (multiplicity 4)
2 U 0.2500 0.2500 0.7500 (multiplicity 4)
3 Cd 0.0000 0.0000 0.5000 (multiplicity 4)

(B)
Crystalline LiUCd at its relaxed geometry, computed with PBE.

Calculated values
Spin magnetization   3.64 μB/f.u.

abc: 6.5878 6.5878 6.5878
angles: 90.00 90.00 90.00
Space group F-43m (No. 216)
Symmetry-distinct sites (fractional):
1 Li 0.0000 0.0000 0.0000 (multiplicity 4)
2 U 0.2500 0.2500 0.2500 (multiplicity 4)
3 Cd 0.2500 0.2500 0.7500 (multiplicity 4)

(B) has the most favorable energy; the next structure is 304 meV per atom above.

(A)
Crystalline LuMgCd2 at its relaxed geometry, computed with PBE.

Calculated values
Spin magnetization   0.00 μB/f.u.

abc: 4.8718 4.8718 8.9908
angles: 90.00 90.00 120.00
Space group P6_3/mmc (No. 194)
Symmetry-distinct sites (fractional):
1 Lu 0.3333 0.6667 0.2500 (multiplicity 2)
2 Mg 0.0000 0.0000 0.0000 (multiplicity 2)
3 Cd 0.3333 0.6667 0.5910 (multiplicity 4)

(B)
Crystalline LuMgCd2 at its relaxed geometry, computed with PBE.

Calculated values
Spin magnetization   0.00 μB/f.u.

abc: 5.1191 5.1191 8.4265
angles: 90.00 90.00 120.00
Space group P6_3/mmc (No. 194)
Symmetry-distinct sites (fractional):
1 Lu 0.0000 0.0000 0.2500 (multiplicity 2)
2 Mg 0.3333 0.6667 0.2500 (multiplicity 2)
3 Cd 0.3333 0.6667 0.5773 (multiplicity 4)

(A) has the most favorable energy; the next structure is 272 meV per atom above.

(A)
Crystalline LuCdMo at its relaxed geometry, computed with PBE.

Calculated values
Spin magnetization   2.72 μB/f.u.

abc: 6.7102 6.7102 6.7102
angles: 90.00 90.00 90.00
Space group F-43m (No. 216)
Symmetry-distinct sites (fractional):
1 Lu 0.0000 0.0000 0.0000 (multiplicity 4)
2 Cd 0.0000 0.0000 0.5000 (multiplicity 4)
3 Mo 0.2500 0.2500 0.7500 (multiplicity 4)

(B)
Crystalline LuCdMo at its relaxed geometry, computed with PBE.

Calculated values
Spin magnetization   3.02 μB/f.u.

abc: 6.7481 6.7481 6.7481
angles: 90.00 90.00 90.00
Space group F-43m (No. 216)
Symmetry-distinct sites (fractional):
1 Lu 0.0000 0.0000 0.0000 (multiplicity 4)
2 Cd 0.2500 0.2500 0.7500 (multiplicity 4)
3 Mo 0.2500 0.2500 0.2500 (multiplicity 4)

(A) has the most favorable energy; the next structure is 285 meV per atom above.

(A)
Crystalline Lu2Cd2O5 at its relaxed geometry, computed with PBE.

Calculated values
Spin magnetization   0.19 μB/f.u.

abc: 4.0708 4.0708 8.1021
angles: 90.00 90.00 90.00
Space group P4/mmm (No. 123)
Symmetry-distinct sites (fractional):
1 Lu 0.0000 0.0000 0.2422 (multiplicity 2)
2 Cd 0.5000 0.5000 0.0000 (multiplicity 1)
3 Cd 0.5000 0.5000 0.5000 (multiplicity 1)
4 O 0.0000 0.0000 0.5000 (multiplicity 1)
5 O 0.0000 0.5000 0.1754 (multiplicity 4)

(B)
Crystalline Lu2Cd2O5 at its relaxed geometry, computed with PBE.

Calculated values
Spin magnetization   0.00 μB/f.u.

abc: 4.1694 4.1694 7.1853
angles: 90.00 90.00 90.00
Space group P4/mmm (No. 123)
Symmetry-distinct sites (fractional):
1 Lu 0.0000 0.0000 0.0000 (multiplicity 1)
2 Lu 0.0000 0.0000 0.5000 (multiplicity 1)
3 Cd 0.5000 0.5000 0.2035 (multiplicity 2)
4 O 0.0000 0.5000 0.1923 (multiplicity 4)
5 O 0.5000 0.5000 0.5000 (multiplicity 1)

(A) has the most favorable energy; the next structure is 530 meV per atom above.

(A)
Crystalline RbLuCd at its relaxed geometry, computed with PBE.

Calculated values
Spin magnetization   0.17 μB/f.u.

abc: 7.7340 7.7340 7.7340
angles: 90.00 90.00 90.00
Space group F-43m (No. 216)
Symmetry-distinct sites (fractional):
1 Rb 0.0000 0.0000 0.0000 (multiplicity 4)
2 Lu 0.2500 0.2500 0.7500 (multiplicity 4)
3 Cd 0.0000 0.0000 0.5000 (multiplicity 4)

(B)
Crystalline RbLuCd at its relaxed geometry, computed with PBE.

Calculated values
Spin magnetization   0.69 μB/f.u.

abc: 7.9656 7.9656 7.9656
angles: 90.00 90.00 90.00
Space group F-43m (No. 216)
Symmetry-distinct sites (fractional):
1 Rb 0.0000 0.0000 0.0000 (multiplicity 4)
2 Lu 0.2500 0.2500 0.2500 (multiplicity 4)
3 Cd 0.2500 0.2500 0.7500 (multiplicity 4)

(A) has the most favorable energy; the next structure is 257 meV per atom above.

(A)
Crystalline LuCdRe at its relaxed geometry, computed with PBE.

Calculated values
Spin magnetization   1.71 μB/f.u.

abc: 6.6191 6.6191 6.6191
angles: 90.00 90.00 90.00
Space group F-43m (No. 216)
Symmetry-distinct sites (fractional):
1 Lu 0.0000 0.0000 0.0000 (multiplicity 4)
2 Cd 0.0000 0.0000 0.5000 (multiplicity 4)
3 Re 0.2500 0.2500 0.7500 (multiplicity 4)

(B)
Crystalline LuCdRe at its relaxed geometry, computed with PBE.

Calculated values
Spin magnetization   1.94 μB/f.u.

abc: 6.6552 6.6552 6.6552
angles: 90.00 90.00 90.00
Space group F-43m (No. 216)
Symmetry-distinct sites (fractional):
1 Lu 0.0000 0.0000 0.0000 (multiplicity 4)
2 Cd 0.2500 0.2500 0.7500 (multiplicity 4)
3 Re 0.2500 0.2500 0.2500 (multiplicity 4)

(A) has the most favorable energy; the next structure is 408 meV per atom above.

(A)
Crystalline LuCdSb at its relaxed geometry, computed with PBE.

Calculated values
Spin magnetization   0.00 μB/f.u.

abc: 7.0957 7.0957 7.0957
angles: 90.00 90.00 90.00
Space group F-43m (No. 216)
Symmetry-distinct sites (fractional):
1 Lu 0.0000 0.0000 0.0000 (multiplicity 4)
2 Cd 0.2500 0.2500 0.7500 (multiplicity 4)
3 Sb 0.2500 0.2500 0.2500 (multiplicity 4)

(B)
Crystalline LuCdSb at its relaxed geometry, computed with PBE.

Calculated values
Spin magnetization   0.01 μB/f.u.

abc: 7.0640 7.0640 7.0640
angles: 90.00 90.00 90.00
Space group F-43m (No. 216)
Symmetry-distinct sites (fractional):
1 Lu 0.0000 0.0000 0.0000 (multiplicity 4)
2 Cd 0.0000 0.0000 0.5000 (multiplicity 4)
3 Sb 0.2500 0.2500 0.7500 (multiplicity 4)

(A) has the most favorable energy; the next structure is 223 meV per atom above.

(A)
Crystalline Lu2TlCd at its relaxed geometry, computed with PBE.

Calculated values
Spin magnetization   0.00 μB/f.u.

abc: 5.1389 5.1389 9.9474
angles: 90.00 90.00 120.00
Space group P6_3/mmc (No. 194)
Symmetry-distinct sites (fractional):
1 Lu 0.3333 0.6667 0.0847 (multiplicity 4)
2 Tl 0.3333 0.6667 0.7500 (multiplicity 2)
3 Cd 0.0000 0.0000 0.0000 (multiplicity 2)

(B)
Crystalline Lu2TlCd at its relaxed geometry, computed with PBE.

Calculated values
Spin magnetization   0.24 μB/f.u.

abc: 5.1601 5.1601 9.9547
angles: 90.00 90.00 120.00
Space group P6_3/mmc (No. 194)
Symmetry-distinct sites (fractional):
1 Lu 0.3333 0.6667 0.0845 (multiplicity 4)
2 Tl 0.0000 0.0000 0.0000 (multiplicity 2)
3 Cd 0.3333 0.6667 0.7500 (multiplicity 2)

(A) has the most favorable energy; the next structure is 6 meV per atom above.

(A)
Crystalline Lu2TlCd at its relaxed geometry, computed with PBE.

Calculated values
Spin magnetization   0.00 μB/f.u.

abc: 5.0215 5.0215 10.0684
angles: 90.00 90.00 120.00
Space group P6_3/mmc (No. 194)
Symmetry-distinct sites (fractional):
1 Lu 0.3333 0.6667 0.0904 (multiplicity 4)
2 Tl 0.0000 0.0000 0.2500 (multiplicity 2)
3 Cd 0.3333 0.6667 0.7500 (multiplicity 2)

(B)
Crystalline Lu2TlCd at its relaxed geometry, computed with PBE.

Calculated values
Spin magnetization   0.01 μB/f.u.

abc: 7.5018 7.5018 7.5018
angles: 90.00 90.00 90.00
Space group F-43m (No. 216)
Symmetry-distinct sites (fractional):
1 Lu 0.0000 0.0000 0.0000 (multiplicity 4)
2 Lu 0.2500 0.2500 0.2500 (multiplicity 4)
3 Tl 0.0000 0.0000 0.5000 (multiplicity 4)
4 Cd 0.2500 0.2500 0.7500 (multiplicity 4)

(A) has the most favorable energy; the next structure is 8 meV per atom above.

(A)
Crystalline LuCdW at its relaxed geometry, computed with PBE.

Calculated values
Spin magnetization   2.79 μB/f.u.

abc: 6.7294 6.7294 6.7294
angles: 90.00 90.00 90.00
Space group F-43m (No. 216)
Symmetry-distinct sites (fractional):
1 Lu 0.0000 0.0000 0.0000 (multiplicity 4)
2 Cd 0.0000 0.0000 0.5000 (multiplicity 4)
3 W 0.2500 0.2500 0.7500 (multiplicity 4)

(B)
Crystalline LuCdW at its relaxed geometry, computed with PBE.

Calculated values
Spin magnetization   2.96 μB/f.u.

abc: 6.7579 6.7579 6.7579
angles: 90.00 90.00 90.00
Space group F-43m (No. 216)
Symmetry-distinct sites (fractional):
1 Lu 0.0000 0.0000 0.0000 (multiplicity 4)
2 Cd 0.2500 0.2500 0.7500 (multiplicity 4)
3 W 0.2500 0.2500 0.2500 (multiplicity 4)

(A) has the most favorable energy; the next structure is 282 meV per atom above.

(A)
Crystalline Mg4Cd3 at its relaxed geometry, computed with PBE.

abc: 8.2652 8.2652 5.0245
angles: 90.00 90.00 120.00
Space group P6_3/m (No. 176)
Symmetry-distinct sites (fractional):
1 Mg 0.0375 0.8008 0.2500 (multiplicity 6)
2 Mg 0.3333 0.6667 0.2500 (multiplicity 2)
3 Cd 0.0900 0.6209 0.7500 (multiplicity 6)

(B)
Crystalline Mg4Cd3 at its relaxed geometry, computed with PBE.

abc: 8.2285 8.2285 5.1244
angles: 90.00 90.00 120.00
Space group P6_3/m (No. 176)
Symmetry-distinct sites (fractional):
1 Mg 0.0977 0.4713 0.2500 (multiplicity 6)
2 Mg 0.3333 0.6667 0.7500 (multiplicity 2)
3 Cd 0.0513 0.2478 0.7500 (multiplicity 6)

(A) has the most favorable energy; the next structure is 23 meV per atom above.